No. 1
This record from Alexandria via LeMat-Bulk describes a relaxed structure of NdMgGa2Pd4. The functional is GGA-PBE.

Output
- magnetic moment (μB per formula unit) = 0.00
- DFT total energy (eV/atom) = -4.88

Cell lengths 9.038, 9.038, 9.038 Å; angles 27.93, 27.93, 27.93 degrees
Sites, in units of the cell vectors:
Nd1 0.000 0.000 0.000
Mg1 0.500 0.500 0.500
Ga1 0.239 0.239 0.239
Ga2 0.761 0.761 0.761
Pd1 0.130 0.130 0.130
Pd2 0.401 0.401 0.401
Pd3 0.599 0.599 0.599
Pd4 0.870 0.870 0.870

No. 2
This record from Alexandria via LeMat-Bulk describes a relaxed structure of NdMgGa5Pd2. The functional is GGA-PBE.

Output
- magnetic moment (μB per formula unit) = 0.00
- DFT total energy (eV/atom) = -3.78

Cell lengths 4.477, 4.477, 9.995 Å; angles 90.00, 90.00, 90.00 degrees
Sites, in units of the cell vectors:
Nd1 0.000 0.000 0.000
Mg1 0.000 0.000 0.500
Ga1 0.000 0.500 0.334
Ga2 0.000 0.500 0.666
Ga3 0.500 0.000 0.334
Ga4 0.500 0.000 0.666
Ga5 0.500 0.500 0.000
Pd1 0.500 0.500 0.232
Pd2 0.500 0.500 0.768

No. 3
This record from Alexandria via LeMat-Bulk describes a relaxed structure of NdMgGaPd. The functional is GGA-PBE.

Output
- magnetic moment (μB per formula unit) = 0.00
- DFT total energy (eV/atom) = -4.24

Cell lengths 4.921, 4.921, 4.921 Å; angles 60.00, 60.00, 60.00 degrees
Sites, in units of the cell vectors:
Nd1 0.000 0.000 0.000
Mg1 0.500 0.500 0.500
Ga1 0.750 0.750 0.750
Pd1 0.250 0.250 0.250

No. 4
This record from Alexandria via LeMat-Bulk describes a relaxed structure of Nd2MgGa4Pt3. The functional is GGA-PBE.

Output
- magnetic moment (μB per formula unit) = 0.00
- DFT total energy (eV/atom) = -5.01

Cell lengths 4.257, 4.257, 10.988 Å; angles 90.00, 90.00, 90.00 degrees
Sites, in units of the cell vectors:
Nd1 0.000 0.500 0.236
Nd2 0.500 0.000 0.764
Mg1 0.000 0.000 0.500
Ga1 0.000 0.000 0.000
Ga2 0.000 0.500 0.644
Ga3 0.500 0.000 0.356
Ga4 0.500 0.500 0.000
Pt1 0.000 0.500 0.870
Pt2 0.500 0.000 0.130
Pt3 0.500 0.500 0.500

No. 5
This record from Alexandria via LeMat-Bulk describes a relaxed structure of NdMgGa2Pt4. The functional is GGA-PBE.

Output
- magnetic moment (μB per formula unit) = 0.00
- DFT total energy (eV/atom) = -5.42

Cell lengths 9.160, 9.160, 9.160 Å; angles 27.43, 27.43, 27.43 degrees
Sites, in units of the cell vectors:
Nd1 0.000 0.000 0.000
Mg1 0.500 0.500 0.500
Ga1 0.241 0.241 0.241
Ga2 0.759 0.759 0.759
Pt1 0.132 0.132 0.132
Pt2 0.402 0.402 0.402
Pt3 0.598 0.598 0.598
Pt4 0.868 0.868 0.868

No. 6
This record from Alexandria via LeMat-Bulk describes a relaxed structure of NdMgGaPt2. The functional is GGA-PBE.

Output
- magnetic moment (μB per formula unit) = 0.00
- DFT total energy (eV/atom) = -5.22

Cell lengths 6.769, 6.769, 6.769 Å; angles 145.12, 145.12, 50.15 degrees
Sites, in units of the cell vectors:
Nd1 0.000 0.000 0.000
Mg1 0.750 0.250 0.500
Ga1 0.250 0.750 0.500
Pt1 0.389 0.389 0.000
Pt2 0.611 0.611 0.000

No. 7
This record from Alexandria via LeMat-Bulk describes a relaxed structure of Nd2MgGa3Pt4. The functional is GGA-PBE.

Output
- magnetic moment (μB per formula unit) = 0.00
- DFT total energy (eV/atom) = -5.39

Cell lengths 4.142, 4.142, 11.424 Å; angles 90.00, 90.00, 90.00 degrees
Sites, in units of the cell vectors:
Nd1 0.000 0.500 0.242
Nd2 0.500 0.000 0.758
Mg1 0.000 0.000 0.500
Ga1 0.000 0.500 0.870
Ga2 0.500 0.000 0.130
Ga3 0.500 0.500 0.500
Pt1 0.000 0.000 0.000
Pt2 0.000 0.500 0.648
Pt3 0.500 0.000 0.352
Pt4 0.500 0.500 0.000

No. 8
This record from Alexandria via LeMat-Bulk describes a relaxed structure of NdMgGa2Pt. The functional is GGA-PBE.

Output
- magnetic moment (μB per formula unit) = 0.00
- DFT total energy (eV/atom) = -4.43

Cell lengths 6.459, 6.459, 6.459 Å; angles 142.18, 141.05, 55.42 degrees
Sites, in units of the cell vectors:
Nd1 0.000 0.000 0.000
Mg1 0.251 0.751 0.500
Ga1 0.606 0.606 0.000
Ga2 0.755 0.255 0.500
Pt1 0.388 0.388 0.000

No. 9
This record from Alexandria via LeMat-Bulk describes a relaxed structure of NdMgGaPt. The functional is GGA-PBE.

Output
- magnetic moment (μB per formula unit) = 0.00
- DFT total energy (eV/atom) = -4.56

Cell lengths 4.908, 4.908, 4.908 Å; angles 60.00, 60.00, 60.00 degrees
Sites, in units of the cell vectors:
Nd1 0.000 0.000 0.000
Mg1 0.500 0.500 0.500
Ga1 0.750 0.750 0.750
Pt1 0.250 0.250 0.250

No. 10
This record from Alexandria via LeMat-Bulk describes a relaxed structure of NdMgGa4Pt2. The functional is GGA-PBE.

Output
- magnetic moment (μB per formula unit) = 0.00
- DFT total energy (eV/atom) = -4.47

Cell lengths 9.253, 9.253, 9.253 Å; angles 27.32, 27.32, 27.32 degrees
Sites, in units of the cell vectors:
Nd1 0.000 0.000 0.000
Mg1 0.500 0.500 0.500
Ga1 0.123 0.123 0.123
Ga2 0.396 0.396 0.396
Ga3 0.604 0.604 0.604
Ga4 0.877 0.877 0.877
Pt1 0.230 0.230 0.230
Pt2 0.770 0.770 0.770

No. 11
This record from Alexandria via LeMat-Bulk describes a relaxed structure of NdMgGa2Pt2. The functional is GGA-PBE.

Output
- magnetic moment (μB per formula unit) = 0.00
- DFT total energy (eV/atom) = -4.98

Cell lengths 4.428, 4.428, 6.827 Å; angles 90.00, 90.00, 120.00 degrees
Sites, in units of the cell vectors:
Nd1 0.000 0.000 0.000
Mg1 0.000 0.000 0.500
Ga1 0.333 0.667 0.299
Ga2 0.667 0.333 0.701
Pt1 0.333 0.667 0.708
Pt2 0.667 0.333 0.292

No. 12
This record from Alexandria via LeMat-Bulk describes a relaxed structure of NdMgScGa. The functional is GGA-PBE.

Output
- magnetic moment (μB per formula unit) = 0.00
- DFT total energy (eV/atom) = -4.26

Cell lengths 5.107, 5.107, 5.107 Å; angles 60.00, 60.00, 60.00 degrees
Sites, in units of the cell vectors:
Nd1 0.000 0.000 0.000
Mg1 0.250 0.250 0.250
Sc1 0.500 0.500 0.500
Ga1 0.750 0.750 0.750

no.,formation energy (eV per atom)
1,-0.73
2,-0.24
3,-0.59
4,-0.87
5,-0.84
6,-0.93
7,-0.95
8,-0.74
9,-0.70
10,-0.65
11,-0.90
12,-0.33